1.
A plane-wave DFT calculation with GGA-PBE was carried out for crystalline CdGaPb6 at its relaxed geometry.

```
CdGaPb6
1.0
4.9242 0.0000 0.0000
0.0000 4.9242 0.0000
0.0000 0.0000 9.7603
Cd Ga Pb
1 1 6
direct
0.0000 0.0000 0.0000
0.0000 0.0000 0.5000
0.0000 0.5000 0.2519
0.0000 0.5000 0.7481
0.5000 0.0000 0.2519
0.5000 0.0000 0.7481
0.5000 0.5000 0.0000
0.5000 0.5000 0.5000
```

Properties
The calculation puts the relative energy among the computed polymorphs at 0 meV per atom. Its symmetry is P4/mmm, No. 123.

---

2.
A plane-wave DFT calculation with GGA-PBE was carried out for crystalline Ba2TeClO at its relaxed geometry.

```
Ba2TeClO
1.0
5.5837 0.0000 0.0000
0.0000 5.5837 0.0000
0.0000 0.0000 4.7324
Ba Te Cl O
2 1 1 1
direct
0.0000 0.5000 0.0000
0.5000 0.0000 0.0000
0.0000 0.0000 0.5000
0.5000 0.5000 0.5000
0.5000 0.5000 0.0000
```

Properties
The value obtained for the uncorrected formation energy is -1.671 eV/atom. Its symmetry is P4/mmm, No. 123.

---

3.
A plane-wave DFT calculation with GGA-PBE was carried out for crystalline AlTl2Sn2 at its relaxed geometry.

```
AlTl2Sn2
1.0
7.3125 0.0000 0.0000
0.0000 7.3125 0.0000
0.0000 0.0000 5.4603
Al Tl Sn
2 4 4
direct
0.0000 0.0000 0.0000
0.5000 0.5000 0.0000
0.1730 0.3270 0.5000
0.3270 0.8270 0.5000
0.6730 0.1730 0.5000
0.8270 0.6730 0.5000
0.1428 0.6428 0.0000
0.3572 0.1428 0.0000
0.6428 0.8572 0.0000
0.8572 0.3572 0.0000
```

Properties
The calculation puts the relative energy among the computed polymorphs at 0 meV per atom. Its symmetry is P4/mbm, No. 127.

---

4.
A plane-wave DFT calculation with GGA-PBE was carried out for crystalline TbEuTmMg at its relaxed geometry.

```
TbEuTmMg
1.0
7.8996 0.0000 0.0000
0.0000 7.8996 0.0000
0.0000 0.0000 7.8996
Tb Eu Tm Mg
4 4 4 4
direct
0.0000 0.0000 0.0000
0.0000 0.5000 0.5000
0.5000 0.0000 0.5000
0.5000 0.5000 0.0000
0.0000 0.0000 0.5000
0.0000 0.5000 0.0000
0.5000 0.0000 0.0000
0.5000 0.5000 0.5000
0.2500 0.2500 0.7500
0.2500 0.7500 0.2500
0.7500 0.2500 0.2500
0.7500 0.7500 0.7500
0.2500 0.2500 0.2500
0.2500 0.7500 0.7500
0.7500 0.2500 0.7500
0.7500 0.7500 0.2500
```

Properties
Its symmetry is F-43m, No. 216. The value obtained for the calculated total energy is -5.176 eV per atom.

---

5.
A plane-wave DFT calculation with GGA-PBE was carried out for crystalline K3BrO4 at its relaxed geometry.

```
K3BrO4
1.0
10.3144 0.0000 0.0000
0.0000 5.4412 0.0000
0.0000 0.0000 5.4431
K Br O
6 2 8
direct
0.0000 0.2385 0.0000
0.2499 0.2497 0.5066
0.2501 0.7503 0.0066
0.5000 0.7615 0.5000
0.7501 0.2497 0.5066
0.7499 0.7503 0.0066
0.0000 0.7731 0.5322
0.5000 0.2269 0.0322
0.0000 0.0940 0.4970
0.0000 0.7351 0.8528
0.1840 0.7483 0.5069
0.3160 0.2517 0.0069
0.5000 0.2649 0.3528
0.5000 0.9060 0.9970
0.6840 0.2517 0.0069
0.8160 0.7483 0.5069
```

Properties
The calculation puts the relative energy among the computed polymorphs at 120 meV per atom. The value obtained for the uncorrected formation energy is -0.891 eV/atom. Its symmetry is Pmn2_1, No. 31.

---

6.
A plane-wave DFT calculation with GGA-PBE was carried out for crystalline Ac2PmIn at its relaxed geometry.

```
Ac2PmIn
1.0
3.9350 0.0000 0.0000
-1.9675 3.4078 0.0000
0.0000 0.0000 34.5428
Ac Pm In
6 3 3
direct
0.0000 0.0000 0.0000
0.0000 0.0000 0.1786
0.3333 0.6667 0.6667
0.3333 0.6667 0.8452
0.6667 0.3333 0.3333
0.6667 0.3333 0.5119
0.0000 0.0000 0.7560
0.3333 0.6667 0.4226
0.6667 0.3333 0.0893
0.0000 0.0000 0.5893
0.3333 0.6667 0.2559
0.6667 0.3333 0.9226
```

Properties
The calculation puts the relative energy among the computed polymorphs at 128 meV per atom. Its symmetry is R3m, No. 160.

---

7.
A plane-wave DFT calculation with GGA-PBE was carried out for crystalline SnAsPb2 at its relaxed geometry.

```
SnAsPb2
1.0
5.0953 0.0000 0.0000
0.0000 5.0953 0.0000
0.0000 0.0000 4.2639
Sn As Pb
1 1 2
direct
0.0000 0.0000 0.0000
0.5000 0.5000 0.0000
0.0000 0.5000 0.5000
0.5000 0.0000 0.5000
```

Properties
The calculation puts the relative energy among the computed polymorphs at 23 meV per atom. Its symmetry is P4/mmm, No. 123.

---

8.
A plane-wave DFT calculation with GGA-PBE was carried out for crystalline AcPu2PN5 at its relaxed geometry.

```
AcPu2PN5
1.0
-3.3237 3.3237 5.4712
3.3237 -3.3237 5.4712
3.3237 3.3237 -5.4712
Ac Pu P N
2 4 2 10
direct
0.2500 0.2500 0.0000
0.7500 0.7500 0.0000
0.1828 0.6828 0.8656
0.3172 0.1828 0.5000
0.6828 0.8172 0.5000
0.8172 0.3172 0.1344
0.2500 0.7500 0.5000
0.7500 0.2500 0.5000
0.0000 0.0000 0.0000
0.0156 0.7844 0.5000
0.2156 0.7156 0.2312
0.2844 0.5156 0.5000
0.4844 0.9844 0.7688
0.5000 0.5000 0.0000
0.5156 0.0156 0.2312
0.7156 0.4844 0.5000
0.7844 0.2844 0.7688
0.9844 0.2156 0.5000
```

Properties
The value obtained for the uncorrected formation energy is -1.141 eV/atom. Its symmetry is I4/mcm, No. 140.

---

9.
A plane-wave DFT calculation with GGA-PBE was carried out for crystalline PrY6Tm2 at its relaxed geometry.

```
PrY6Tm2
1.0
6.3313 -1.8502 0.0000
6.3313 1.8502 0.0000
-3.8369 0.0000 12.5361
Pr Y Tm
1 6 2
direct
0.0000 0.0000 0.0000
0.0346 0.0346 0.6900
0.3017 0.3017 0.1079
0.3547 0.3547 0.4772
0.6453 0.6453 0.5228
0.6983 0.6983 0.8921
0.9654 0.9654 0.3100
0.3286 0.3286 0.7446
0.6714 0.6714 0.2554
```

Properties
The calculation puts the relative energy among the computed polymorphs at 0 meV per atom. Its symmetry is C2/m, No. 12.

---

10.
A plane-wave DFT calculation with GGA-PBE was carried out for crystalline Pm2CdHg2 at its relaxed geometry.

```
Pm2CdHg2
1.0
5.7723 -2.4410 0.0000
5.7723 2.4410 0.0000
-4.1987 0.0000 9.6299
Pm Cd Hg
4 2 4
direct
0.0263 0.0263 0.3439
0.1754 0.1754 0.0882
0.8246 0.8246 0.9118
0.9737 0.9737 0.6561
0.2757 0.2757 0.6715
0.7243 0.7243 0.3285
0.3637 0.3637 0.4147
0.4619 0.4619 0.1242
0.5381 0.5381 0.8758
0.6363 0.6363 0.5853
```

Properties
The calculation puts the relative energy among the computed polymorphs at 0 meV per atom. Its symmetry is C2/m, No. 12.

---

11.
A plane-wave DFT calculation with GGA-PBE was carried out for crystalline Ca3Se at its relaxed geometry.

```
Ca3Se
1.0
4.9347 0.0000 0.0000
0.0000 5.5499 0.0000
0.0000 0.0000 9.6801
Ca Se
6 2
direct
0.0000 0.0000 0.0000
0.0000 0.5000 0.3184
0.0000 0.5000 0.6816
0.5000 0.0000 0.3184
0.5000 0.0000 0.6816
0.5000 0.5000 0.0000
0.0000 0.0000 0.5000
0.5000 0.5000 0.5000
```

Properties
The calculation puts the relative energy among the computed polymorphs at 74 meV per atom. The value obtained for the uncorrected formation energy is -0.834 eV/atom. Its symmetry is Cmmm, No. 65.

---

12.
A plane-wave DFT calculation with GGA-PBE was carried out for crystalline MnCrCo2 at its relaxed geometry.

```
MnCrCo2
1.0
2.4611 0.0000 0.0000
0.0000 3.5349 0.0000
0.0000 0.0000 4.9462
Mn Cr Co
1 1 2
direct
0.0000 0.0000 0.0000
0.0000 0.0000 0.5000
0.5000 0.5000 0.2473
0.5000 0.5000 0.7527
```

Properties
Its symmetry is Pmmm, No. 47. The value obtained for the calculated total energy is -8.206 eV per atom.

---

Number 1: density of states at the Fermi level 3.07 states/eV/f.u.. Number 2: density of states at the Fermi level 0.46 states/eV/f.u.. Number 3: density of states at the Fermi level 2.64 states/eV/f.u.. Number 4: density of states at the Fermi level 2.96 states/eV/f.u.. Number 5: density of states at the Fermi level 0.00 states/eV/f.u.. Number 6: density of states at the Fermi level 6.20 states/eV/f.u.. Number 7: density of states at the Fermi level 1.95 states/eV/f.u.. Number 8: density of states at the Fermi level 10.26 states/eV/f.u.. Number 9: density of states at the Fermi level 14.48 states/eV/f.u.. Number 10: density of states at the Fermi level 5.22 states/eV/f.u.. Number 11: density of states at the Fermi level 2.66 states/eV/f.u.. Number 12: density of states at the Fermi level 4.56 states/eV/f.u..